A geometry-optimized Na2TcRu2 structure. Source: the Alexandria database, functional PBE.

Output
Energy relative to the lowest polymorph listed for this composition ... 49 meV/atom
D(E_F) ... 5.9 states/eV/f.u.
SG ... P4/mbm, No. 127

a = 8.224 Å, b = 8.224 Å, c = 2.493 Å
α = 90.00°, β = 90.00°, γ = 90.00°
Positions (direct):
1 Na 0.106 0.394 0.000
2 Na 0.394 0.894 0.000
3 Na 0.606 0.106 0.000
4 Na 0.894 0.606 0.000
5 Tc 0.000 0.000 0.000
6 Tc 0.500 0.500 0.000
7 Ru 0.195 0.695 0.500
8 Ru 0.305 0.195 0.500
9 Ru 0.695 0.805 0.500
10 Ru 0.805 0.305 0.500